Entry 1:
Below is an optimized crystal structure of AcSn5Pd, with properties calculated at the PBE level.

Space-group type: P4/mmm
Raw total energy, eV per cell: -32.05
Formation energy from the elements, eV/atom: -0.39

Cell: 4.8984 4.8984 7.9219 Å, 90.00 90.00 90.00°
Closest atoms and distances in Å follow each position.
Fractional coordinates of all 7 atoms:
1 Ac 0.0000 0.0000 0.0000  12 Sn 3.45-3.46
2 Sn 0.0000 0.5000 0.3074  2 Pd 2.89, 1 Sn 3.05
3 Sn 0.0000 0.5000 0.6926  2 Pd 2.89, 1 Sn 3.05
4 Sn 0.5000 0.0000 0.3074  2 Pd 2.89, 1 Sn 3.05
5 Sn 0.5000 0.0000 0.6926  2 Pd 2.89, 1 Sn 3.05
6 Sn 0.5000 0.5000 0.0000  8 Sn 3.45, 4 Ac 3.46
7 Pd 0.0000 0.0000 0.5000  8 Sn 2.89

---

Entry 2:
Below is an optimized crystal structure of AcSn4Pd2, with properties calculated at the PBE level.

Space-group type: Cmmm
Raw total energy, eV per cell: -33.75
Formation energy from the elements, eV/atom: -0.46

Cell: 7.1605 7.1605 5.0750 Å, 90.00 90.00 137.91°
Closest atoms and distances in Å follow each position.
Fractional coordinates of all 7 atoms:
1 Ac 0.0000 0.0000 0.0000  8 Sn 3.45-3.55
2 Sn 0.1751 0.8249 0.5000  3 Pd 2.74-2.96
3 Sn 0.3164 0.6836 0.0000  2 Pd 2.75
4 Sn 0.6836 0.3164 0.0000  2 Pd 2.75
5 Sn 0.8249 0.1751 0.5000  3 Pd 2.74-2.96
6 Pd 0.3966 0.6034 0.5000  5 Sn 2.74-2.96, 1 Pd 2.76
7 Pd 0.6034 0.3966 0.5000  5 Sn 2.74-2.96, 1 Pd 2.76

---

Entry 3:
Below is an optimized crystal structure of Ac3SnPd, with properties calculated at the PBE level.

Space-group type: Pm-3m
Energy relative to the lowest polymorph listed for this composition, meV/atom: 150
Raw total energy, eV per cell: -23.39
Formation energy from the elements, eV/atom: -0.37

Cell: 5.8221 5.8221 5.8221 Å, 90.00 90.00 90.00°
Closest atoms and distances in Å follow each position.
Fractional coordinates of all 5 atoms:
1 Ac 0.0000 0.0000 0.5000  2 Pd 2.91
2 Ac 0.0000 0.5000 0.0000  2 Pd 2.91
3 Ac 0.5000 0.0000 0.0000  2 Pd 2.91
4 Sn 0.5000 0.5000 0.5000  12 Ac 4.12
5 Pd 0.0000 0.0000 0.0000  6 Ac 2.91